Computed, not measured: an optimized crystal structure of Nd3Zn2Si4Pd2 at the GGA-PBE level of DFT.

Values from the calculation:
- ΔE to the lowest computed polymorph: 0.098 eV per formula unit
- Space-group type: No. 71
- DFT total energy: -5.197 eV/atom

Cell lengths 12.9102, 12.9102, 12.9102 Å; angles 161.63, 161.12, 26.46 degrees
Sites, in units of the cell vectors:
Nd  0.0000  0.0000  0.0000
Nd  0.3534  0.8534  0.5000
Nd  0.6466  0.1466  0.5000
Zn  0.2501  0.2501  0.0000
Zn  0.7499  0.7499  0.0000
Si  0.1906  0.6906  0.5000
Si  0.4526  0.4526  0.0000
Si  0.5474  0.5474  0.0000
Si  0.8094  0.3094  0.5000
Pd  0.0948  0.5948  0.5000
Pd  0.9052  0.4052  0.5000